# Li4Ti3Mn3Sn2O16

A relaxed Li4Ti3Mn3Sn2O16 crystal (GGA+U, Alexandria via LeMat-Bulk).

The total energy comes out at -7.15 eV per atom. The value obtained for the total moment is 0.32 μB/atom.

CIF file:
```
data_Li4Ti3Mn3Sn2O16
_chemical_formula_sum 'Li8 Ti6 Mn6 Sn4 O32'
_space_group_name_H-M_alt 'C 1 m 1'
_space_group_IT_number 8
_cell_length_a 10.4360
_cell_length_b 5.9725
_cell_length_c 9.7990
_cell_angle_alpha 90.00
_cell_angle_beta 90.61
_cell_angle_gamma 90.00
loop_
_space_group_symop_operation_xyz
'x,y,z'
'x,-y,z'
'x+1/2,y+1/2,z'
'x+1/2,-y+1/2,z'
loop_
_atom_site_label
_atom_site_fract_x
_atom_site_fract_y
_atom_site_fract_z
_atom_site_occupancy
Li1 0.0000 0.0000 0.0000 1
Li2 0.0016 0.0000 0.5035 1
Li3 0.1735 0.5000 0.0932 1
Li4 0.3382 0.0000 0.5996 1
Ti1 0.3306 0.5000 0.7753 1
Ti2 0.4151 0.2456 0.2791 1
Mn1 0.0879 0.2546 0.7826 1
Mn2 0.1709 0.0000 0.2802 1
Sn1 0.1610 0.5000 0.5063 1
Sn2 0.3359 0.0000 0.9990 1
O1 0.0005 0.0000 0.6896 1
O2 0.0214 0.5000 0.6651 1
O3 0.0720 0.2492 0.3989 1
O4 0.1600 0.0000 0.8959 1
O5 0.1758 0.5000 0.8874 1
O6 0.2452 0.2766 0.6564 1
O7 0.2733 0.2321 0.1480 1
O8 0.3332 0.5000 0.3914 1
O9 0.3485 0.0000 0.3900 1
O10 0.4210 0.2584 0.8898 1
O11 0.4873 0.0000 0.1612 1
O12 0.4905 0.5000 0.1869 1
```